Here is a crystal of BeReC2Se relaxed with PBEsol from Alexandria. Energies are from SCAN. Values from VASP.

```
&SYSTEM
  ibrav = 0, nat = 5, ntyp = 4
/
ATOMIC_SPECIES
Re 186.21 Re.upf
C 12.01 C.upf
Se 78.96 Se.upf
Be 9.01 Be.upf
CELL_PARAMETERS angstrom
-2.574 -2.645 0.447
2.434 -2.563 -1.150
1.479 -0.662 4.605
ATOMIC_POSITIONS crystal
Re 0.000 0.000 0.500
C 0.000 0.500 0.000
C 0.500 0.000 0.000
Se 0.000 0.000 0.000
Be 0.500 0.500 0.500
```

Calculated values
* uncorrected formation energy: 2.91 eV per atom
* space group: P4/mmm
* calculated volume: 13.49 Å³/atom